The following is a GGA-PBE calculation of crystalline Rb2SnHg2Br4 at its relaxed geometry, from the Alexandria database.

The structure in POSCAR format:
```
Rb2SnHg2Br4
1.0
-5.629 3.113 -3.927
-2.684 -3.665 6.014
4.717 5.311 2.519
Sn Hg Rb Br
1 2 2 4
direct
0.000 0.000 0.000 Sn
0.000 0.667 0.667 Hg
0.000 0.333 0.333 Hg
0.500 0.250 0.750 Rb
0.500 0.750 0.250 Rb
0.483 0.241 0.241 Br
0.000 0.759 0.241 Br
0.517 0.759 0.759 Br
0.000 0.241 0.759 Br
```

Space-group type ... I4/mmm, No. 139
VASP energy ... -2.478 eV/atom
Uncorrected formation energy ... -9.1 eV/f.u.